## i
Material: TbMg6Sc2
Method: DFT, GGA-PBE
State: relaxed

SG: No. 191

Structure (CIF):
```
data_TbMg6Sc2
_symmetry_space_group_name_H-M 'P 1'
_symmetry_Int_Tables_number 1
_symmetry_space_group_name_Hall 'P 1'
_cell_length_a 3.181
_cell_length_b 8.899
_cell_length_c 8.899
_cell_angle_alpha 120.00
_cell_angle_beta 90.00
_cell_angle_gamma 90.00
loop_
_atom_site_label
_atom_site_type_symbol
_atom_site_fract_x
_atom_site_fract_y
_atom_site_fract_z
Tb1 Tb 0.000 0.000 0.000
Mg1 Mg 0.500 0.338 0.338
Mg2 Mg 0.500 0.662 0.662
Mg3 Mg 0.500 0.000 0.662
Mg4 Mg 0.500 0.662 0.000
Mg5 Mg 0.500 0.338 0.000
Mg6 Mg 0.500 0.000 0.338
Sc1 Sc 0.000 0.333 0.667
Sc2 Sc 0.000 0.667 0.333
```

## ii
Material: TbMg6Sc2
Method: DFT, GGA-PBE
State: relaxed

SG: No. 189

Structure (CIF):
```
data_TbMg6Sc2
_symmetry_space_group_name_H-M 'P 1'
_symmetry_Int_Tables_number 1
_symmetry_space_group_name_Hall 'P 1'
_cell_length_a 3.091
_cell_length_b 9.060
_cell_length_c 9.060
_cell_angle_alpha 120.00
_cell_angle_beta 90.00
_cell_angle_gamma 90.00
loop_
_atom_site_label
_atom_site_type_symbol
_atom_site_fract_x
_atom_site_fract_y
_atom_site_fract_z
Tb1 Tb 0.500 0.000 0.000
Mg1 Mg 0.000 0.679 0.000
Mg2 Mg 0.000 0.321 0.321
Mg3 Mg 0.000 0.000 0.679
Mg4 Mg 0.500 0.000 0.364
Mg5 Mg 0.500 0.636 0.636
Mg6 Mg 0.500 0.364 0.000
Sc1 Sc 0.000 0.667 0.333
Sc2 Sc 0.000 0.333 0.667
```

What should be chosen as the most stable of them? Choose i.

## i
Material: Tb8MgSc2
Method: DFT, GGA-PBE
State: relaxed

SG: No. 71

Structure (CIF):
```
data_Tb8MgSc2
_symmetry_space_group_name_H-M 'P 1'
_symmetry_Int_Tables_number 1
_symmetry_space_group_name_Hall 'P 1'
_cell_length_a 5.344
_cell_length_b 7.754
_cell_length_c 9.371
_cell_angle_alpha 114.44
_cell_angle_beta 106.57
_cell_angle_gamma 90.00
loop_
_atom_site_label
_atom_site_type_symbol
_atom_site_fract_x
_atom_site_fract_y
_atom_site_fract_z
Tb1 Tb 0.638 0.852 0.276
Tb2 Tb 0.362 0.576 0.724
Tb3 Tb 0.175 0.175 0.349
Tb4 Tb 0.000 0.282 0.000
Tb5 Tb 0.825 0.825 0.651
Tb6 Tb 0.638 0.424 0.276
Tb7 Tb 0.362 0.148 0.724
Tb8 Tb 0.000 0.718 0.000
Mg1 Mg 0.500 0.000 0.000
Sc1 Sc 0.195 0.695 0.391
Sc2 Sc 0.805 0.305 0.609
```

## ii
Material: Tb8MgSc2
Method: DFT, GGA-PBE
State: relaxed

SG: No. 12

Structure (CIF):
```
data_Tb8MgSc2
_symmetry_space_group_name_H-M 'P 1'
_symmetry_Int_Tables_number 1
_symmetry_space_group_name_Hall 'P 1'
_cell_length_a 4.955
_cell_length_b 7.780
_cell_length_c 9.158
_cell_angle_alpha 105.11
_cell_angle_beta 105.70
_cell_angle_gamma 90.00
loop_
_atom_site_label
_atom_site_type_symbol
_atom_site_fract_x
_atom_site_fract_y
_atom_site_fract_z
Tb1 Tb 0.406 0.547 0.812
Tb2 Tb 0.683 0.915 0.366
Tb3 Tb 0.861 0.810 0.722
Tb4 Tb 0.953 0.277 0.905
Tb5 Tb 0.139 0.190 0.278
Tb6 Tb 0.317 0.085 0.634
Tb7 Tb 0.594 0.453 0.188
Tb8 Tb 0.047 0.723 0.095
Mg1 Mg 0.500 0.000 0.000
Sc1 Sc 0.774 0.365 0.549
Sc2 Sc 0.226 0.635 0.451
```

What should be chosen as the most stable of them? Choose ii.

## i
Material: TbThMgSc
Method: DFT, GGA-PBE
State: relaxed

SG: No. 99

Structure (CIF):
```
data_TbThMgSc
_symmetry_space_group_name_H-M 'P 1'
_symmetry_Int_Tables_number 1
_symmetry_space_group_name_Hall 'P 1'
_cell_length_a 3.575
_cell_length_b 3.575
_cell_length_c 8.690
_cell_angle_alpha 90.00
_cell_angle_beta 90.00
_cell_angle_gamma 90.00
loop_
_atom_site_label
_atom_site_type_symbol
_atom_site_fract_x
_atom_site_fract_y
_atom_site_fract_z
Tb1 Tb 0.000 0.000 0.085
Th1 Th 0.500 0.500 0.807
Mg1 Mg 0.500 0.500 0.339
Sc1 Sc 0.000 0.000 0.554
```

## ii
Material: TbThMgSc
Method: DFT, GGA-PBE
State: relaxed

SG: No. 216

Structure (CIF):
```
data_TbThMgSc
_symmetry_space_group_name_H-M 'P 1'
_symmetry_Int_Tables_number 1
_symmetry_space_group_name_Hall 'P 1'
_cell_length_a 5.419
_cell_length_b 5.419
_cell_length_c 5.419
_cell_angle_alpha 60.00
_cell_angle_beta 60.00
_cell_angle_gamma 60.00
loop_
_atom_site_label
_atom_site_type_symbol
_atom_site_fract_x
_atom_site_fract_y
_atom_site_fract_z
Sc1 Sc 0.000 0.000 0.000
Mg1 Mg 0.500 0.500 0.500
Tb1 Tb 0.750 0.750 0.750
Th1 Th 0.250 0.250 0.250
```

What should be chosen as the most stable of them? Choose i.

## i
Material: TbYMgSc
Method: DFT, GGA-PBE
State: relaxed

SG: No. 99

Structure (CIF):
```
data_TbYMgSc
_symmetry_space_group_name_H-M 'P 1'
_symmetry_Int_Tables_number 1
_symmetry_space_group_name_Hall 'P 1'
_cell_length_a 3.551
_cell_length_b 3.550
_cell_length_c 8.958
_cell_angle_alpha 90.00
_cell_angle_beta 90.01
_cell_angle_gamma 90.00
loop_
_atom_site_label
_atom_site_type_symbol
_atom_site_fract_x
_atom_site_fract_y
_atom_site_fract_z
Tb1 Tb 0.107 0.430 0.090
Y1 Y 0.108 0.430 0.590
Mg1 Mg 0.608 0.930 0.340
Sc1 Sc 0.607 0.930 0.841
```

## ii
Material: TbYMgSc
Method: DFT, GGA-PBE
State: relaxed

SG: No. 216

Structure (CIF):
```
data_TbYMgSc
_symmetry_space_group_name_H-M 'P 1'
_symmetry_Int_Tables_number 1
_symmetry_space_group_name_Hall 'P 1'
_cell_length_a 5.394
_cell_length_b 5.394
_cell_length_c 5.394
_cell_angle_alpha 60.00
_cell_angle_beta 60.00
_cell_angle_gamma 60.00
loop_
_atom_site_label
_atom_site_type_symbol
_atom_site_fract_x
_atom_site_fract_y
_atom_site_fract_z
Y1 Y 0.750 0.750 0.750
Sc1 Sc 0.000 0.000 0.000
Mg1 Mg 0.500 0.500 0.500
Tb1 Tb 0.250 0.250 0.250
```

What should be chosen as the most stable of them? Choose i.

## i
Material: TbMgZrSc
Method: DFT, GGA-PBE
State: relaxed

SG: No. 216

Structure (CIF):
```
data_TbMgZrSc
_symmetry_space_group_name_H-M 'P 1'
_symmetry_Int_Tables_number 1
_symmetry_space_group_name_Hall 'P 1'
_cell_length_a 5.204
_cell_length_b 5.204
_cell_length_c 5.204
_cell_angle_alpha 60.00
_cell_angle_beta 60.00
_cell_angle_gamma 60.00
loop_
_atom_site_label
_atom_site_type_symbol
_atom_site_fract_x
_atom_site_fract_y
_atom_site_fract_z
Sc1 Sc 0.250 0.250 0.250
Mg1 Mg 0.750 0.750 0.750
Tb1 Tb 0.500 0.500 0.500
Zr1 Zr 0.000 0.000 0.000
```

## ii
Material: TbMgZrSc
Method: DFT, GGA-PBE
State: relaxed

SG: No. 99

Structure (CIF):
```
data_TbMgZrSc
_symmetry_space_group_name_H-M 'P 1'
_symmetry_Int_Tables_number 1
_symmetry_space_group_name_Hall 'P 1'
_cell_length_a 3.336
_cell_length_b 3.335
_cell_length_c 9.157
_cell_angle_alpha 89.99
_cell_angle_beta 90.00
_cell_angle_gamma 90.01
loop_
_atom_site_label
_atom_site_type_symbol
_atom_site_fract_x
_atom_site_fract_y
_atom_site_fract_z
Tb1 Tb 0.107 0.430 0.595
Mg1 Mg 0.608 0.929 0.326
Zr1 Zr 0.608 0.930 0.855
Sc1 Sc 0.108 0.430 0.085
```

What should be chosen as the most stable of them? Choose ii.

## i
Material: MgSc2Te
Method: DFT, GGA-PBE
State: relaxed

SG: No. 123

Structure (CIF):
```
data_MgSc2Te
_symmetry_space_group_name_H-M 'P 1'
_symmetry_Int_Tables_number 1
_symmetry_space_group_name_Hall 'P 1'
_cell_length_a 3.842
_cell_length_b 4.881
_cell_length_c 4.881
_cell_angle_alpha 90.00
_cell_angle_beta 90.00
_cell_angle_gamma 90.00
loop_
_atom_site_label
_atom_site_type_symbol
_atom_site_fract_x
_atom_site_fract_y
_atom_site_fract_z
Mg1 Mg 0.500 0.000 0.500
Sc1 Sc 0.000 0.000 0.000
Sc2 Sc 0.000 0.500 0.500
Te1 Te 0.500 0.500 0.000
```

## ii
Material: MgSc2Te
Method: DFT, GGA-PBE
State: relaxed

SG: No. 122

Structure (CIF):
```
data_MgSc2Te
_symmetry_space_group_name_H-M 'P 1'
_symmetry_Int_Tables_number 1
_symmetry_space_group_name_Hall 'P 1'
_cell_length_a 8.034
_cell_length_b 8.034
_cell_length_c 6.511
_cell_angle_alpha 51.90
_cell_angle_beta 51.90
_cell_angle_gamma 90.00
loop_
_atom_site_label
_atom_site_type_symbol
_atom_site_fract_x
_atom_site_fract_y
_atom_site_fract_z
Sc1 Sc 0.641 0.125 0.250
Sc2 Sc 0.109 0.625 0.250
Sc3 Sc 0.375 0.359 0.750
Sc4 Sc 0.875 0.891 0.750
Mg1 Mg 0.500 0.500 0.000
Mg2 Mg 0.250 0.750 0.500
Te1 Te 0.000 0.000 0.000
Te2 Te 0.750 0.250 0.500
```

What should be chosen as the most stable of them? Choose i.

## i
Material: ThMgSc4
Method: DFT, GGA-PBE
State: relaxed

SG: No. 123

Structure (CIF):
```
data_ThMgSc4
_symmetry_space_group_name_H-M 'P 1'
_symmetry_Int_Tables_number 1
_symmetry_space_group_name_Hall 'P 1'
_cell_length_a 3.361
_cell_length_b 3.361
_cell_length_c 13.591
_cell_angle_alpha 90.00
_cell_angle_beta 90.00
_cell_angle_gamma 90.00
loop_
_atom_site_label
_atom_site_type_symbol
_atom_site_fract_x
_atom_site_fract_y
_atom_site_fract_z
Th1 Th 0.500 0.500 0.500
Mg1 Mg 0.000 0.000 0.000
Sc1 Sc 0.500 0.500 0.156
Sc2 Sc 0.000 0.000 0.679
Sc3 Sc 0.000 0.000 0.321
Sc4 Sc 0.500 0.500 0.844
```

## ii
Material: ThMgSc4
Method: DFT, GGA-PBE
State: relaxed

SG: No. 12

Structure (CIF):
```
data_ThMgSc4
_symmetry_space_group_name_H-M 'P 1'
_symmetry_Int_Tables_number 1
_symmetry_space_group_name_Hall 'P 1'
_cell_length_a 5.097
_cell_length_b 6.295
_cell_length_c 6.104
_cell_angle_alpha 96.88
_cell_angle_beta 65.32
_cell_angle_gamma 66.12
loop_
_atom_site_label
_atom_site_type_symbol
_atom_site_fract_x
_atom_site_fract_y
_atom_site_fract_z
Th1 Th 0.500 0.500 0.500
Mg1 Mg 0.000 0.000 0.000
Sc1 Sc 0.653 0.698 0.996
Sc2 Sc 0.347 0.302 0.004
Sc3 Sc 0.144 0.162 0.551
Sc4 Sc 0.856 0.838 0.449
```

What should be chosen as the most stable of them? Choose i.

## i
Material: ThMgSc
Method: DFT, GGA-PBE
State: relaxed

SG: No. 129

Structure (CIF):
```
data_ThMgSc
_symmetry_space_group_name_H-M 'P 1'
_symmetry_Int_Tables_number 1
_symmetry_space_group_name_Hall 'P 1'
_cell_length_a 3.485
_cell_length_b 3.485
_cell_length_c 13.122
_cell_angle_alpha 90.00
_cell_angle_beta 90.00
_cell_angle_gamma 90.00
loop_
_atom_site_label
_atom_site_type_symbol
_atom_site_fract_x
_atom_site_fract_y
_atom_site_fract_z
Th1 Th 0.000 0.500 0.597
Th2 Th 0.500 0.000 0.403
Mg1 Mg 0.500 0.000 0.071
Mg2 Mg 0.000 0.500 0.929
Sc1 Sc 0.000 0.500 0.227
Sc2 Sc 0.500 0.000 0.773
```

## ii
Material: ThMgSc
Method: DFT, GGA-PBE
State: relaxed

SG: No. 107

Structure (CIF):
```
data_ThMgSc
_symmetry_space_group_name_H-M 'P 1'
_symmetry_Int_Tables_number 1
_symmetry_space_group_name_Hall 'P 1'
_cell_length_a 3.433
_cell_length_b 3.433
_cell_length_c 7.326
_cell_angle_alpha 103.55
_cell_angle_beta 103.55
_cell_angle_gamma 90.00
loop_
_atom_site_label
_atom_site_type_symbol
_atom_site_fract_x
_atom_site_fract_y
_atom_site_fract_z
Sc1 Sc 0.327 0.327 0.653
Mg1 Mg 0.677 0.677 0.353
Th1 Th 0.997 0.997 0.994
```

What should be chosen as the most stable of them? Choose i.